DFT (PBEsol) results for an optimized crystal structure of LaIr2Au. Values from VASP.

```
&SYSTEM
  ibrav = 0, nat = 4, ntyp = 3
/
ATOMIC_SPECIES
La 138.91 La.upf
Ir 192.22 Ir.upf
Au 196.97 Au.upf
CELL_PARAMETERS angstrom
0.000 3.323 3.323
3.323 0.000 3.323
3.323 3.323 0.000
ATOMIC_POSITIONS crystal
La 0.000 0.000 0.000
Ir 0.250 0.250 0.250
Ir 0.750 0.750 0.750
Au 0.500 0.500 0.500
```

mass density = 16299 kg/m³
formation energy = 111 meV per atom
symmetry = Fm-3m, No. 225
spin magnetization = 0.000 μB/cell
crystal system = cubic